No. 1
{
  "formula": "TaVCo3",
  "functional": "GGA-PBE",
  "state": "optimized geometry",
  "cell": [[4.426, 0.000, 0.000], [0.000, 4.426, 0.000], [0.000, 0.000, 4.426]],
  "species": ["Co", "Co", "Co", "Ta", "V"],
  "fractional_positions": [[0.000, 0.500, 0.000], [0.000, 0.000, 0.500], [0.500, 0.000, 0.000], [0.000, 0.000, 0.000], [0.500, 0.500, 0.500]],
  "dft_energy_ev_per_cell": -35.24,
  "delta_e_f_ev_per_atom": 1.4090,
  "dos_at_fermi_per_ev_fu": 5.28,
  "e_above_lowest_polymorph_mev_per_atom": 1350.9,
  "volume_a3_per_atom": 17.33
}


No. 2
{
  "formula": "TaVCo2",
  "functional": "GGA-PBE",
  "state": "optimized geometry",
  "cell": [[-1.813, -0.875, -3.209], [3.242, 0.351, -1.927], [2.291, -8.050, -1.334]],
  "species": ["Co", "Co", "Co", "Co", "V", "V", "Ta", "Ta"],
  "fractional_positions": [[0.154, 0.625, 0.250], [0.875, 0.846, 0.750], [0.596, 0.125, 0.250], [0.375, 0.404, 0.750], [0.250, 0.750, 0.500], [0.500, 0.500, 0.000], [0.000, 0.000, 0.000], [0.750, 0.250, 0.500]],
  "dft_energy_ev_per_cell": -66.19,
  "delta_e_f_ev_per_atom": 0.5221,
  "dos_at_fermi_per_ev_fu": 4.34,
  "e_above_lowest_polymorph_mev_per_atom": 667.8,
  "volume_a3_per_atom": 14.42
}